# 1
# GGA-PBE YFe3, optimized geometry
data_YFe3
_space_group_name_H-M_alt 'I m m m'
_space_group_IT_number 71
_space_group_name_Hall '-I 2 2'
_cell_length_a 3.2170
_cell_length_b 4.4300
_cell_length_c 8.7776
_cell_angle_alpha 90.00
_cell_angle_beta 90.00
_cell_angle_gamma 90.00
loop_
_atom_site_label
_atom_site_fract_x
_atom_site_fract_y
_atom_site_fract_z
Y1 0.0000 0.0000 0.0000
Fe1 0.0000 0.0000 0.5000
Fe2 0.0000 0.5000 0.2258
# Total magnetization in Bohr magnetons per cell: 13.83
# Energy of formation in eV per atom: 0.285



# 2
# GGA-PBE YFe, optimized geometry
data_YFe
_space_group_name_H-M_alt 'F d d d'
_space_group_IT_number 70
_cell_length_a 5.6099
_cell_length_b 8.6642
_cell_length_c 13.5321
_cell_angle_alpha 90.00
_cell_angle_beta 90.00
_cell_angle_gamma 90.00
loop_
_space_group_symop_operation_xyz
'x,y,z'
'-x,-y,-z'
'-x+1/4,-y+1/4,z'
'x+1/4,y+1/4,-z'
'x,-y+1/4,-z+1/4'
'-x,y+1/4,z+1/4'
'-x+1/4,y,-z+1/4'
'x+1/4,-y,z+1/4'
'x,y+1/2,z+1/2'
'-x,-y+1/2,-z+1/2'
'-x+1/4,-y+3/4,z+1/2'
'x+1/4,y+3/4,-z+1/2'
'x,-y+3/4,-z+3/4'
'-x,y+3/4,z+3/4'
'-x+1/4,y+1/2,-z+3/4'
'x+1/4,-y+1/2,z+3/4'
'x+1/2,y,z+1/2'
'-x+1/2,-y,-z+1/2'
'-x+3/4,-y+1/4,z+1/2'
'x+3/4,y+1/4,-z+1/2'
'x+1/2,-y+1/4,-z+3/4'
'-x+1/2,y+1/4,z+3/4'
'-x+3/4,y,-z+3/4'
'x+3/4,-y,z+3/4'
'x+1/2,y+1/2,z'
'-x+1/2,-y+1/2,-z'
'-x+3/4,-y+3/4,z'
'x+3/4,y+3/4,-z'
'x+1/2,-y+3/4,-z+1/4'
'-x+1/2,y+3/4,z+1/4'
'-x+3/4,y+1/2,-z+1/4'
'x+3/4,-y+1/2,z+1/4'
loop_
_atom_site_label
_atom_site_fract_x
_atom_site_fract_y
_atom_site_fract_z
Y1 0.1250 0.2988 0.1250
Fe1 0.1250 0.1250 0.5444
# Total magnetization in Bohr magnetons per cell: 26.69
# Energy of formation in eV per atom: 0.289



# 3
# GGA-PBE Y3Fe, optimized geometry
data_Y3Fe
_space_group_name_H-M_alt 'R -3 m'
_space_group_IT_number 166
_space_group_name_Hall '-R 3 2"'
_cell_length_a 3.5727
_cell_length_b 3.5727
_cell_length_c 29.5897
_cell_angle_alpha 90.00
_cell_angle_beta 90.00
_cell_angle_gamma 120.00
loop_
_atom_site_label
_atom_site_fract_x
_atom_site_fract_y
_atom_site_fract_z
Y1 0.0000 0.0000 0.0000
Y2 0.0000 0.0000 0.2294
Fe1 0.0000 0.0000 0.5000
# Total magnetization in Bohr magnetons per cell: 4.37
# Energy of formation in eV per atom: 0.226